Record 1
Below is GdYAl after structural relaxation, with properties calculated at the PBE level.

**Space group**: I4mm, No. 107
**Energy above the lowest structure with this stoichiometry**: 0.00 kcal/mol of atoms
**Total DFT energy (no corrections)**: -8.3509 eV per atom
**E_form**: -0.26 eV/atom
**Total magnetization**: 7.20 μB/f.u.

a = 7.201 Å, b = 7.201 Å, c = 7.201 Å
α = 152.12°, β = 152.12°, γ = 39.83°
Fractional positions:
Gd 0.000 0.000 0.000
Y 0.706 0.706 0.000
Al 0.352 0.352 0.000


Record 2
Below is GdYAl2 after structural relaxation, with properties calculated at the PBE level.

**Space group**: Fm-3m, No. 225
**Energy above the lowest structure with this stoichiometry**: 0.10 kcal/mol of atoms
**Total DFT energy (no corrections)**: -7.4137 eV per atom
**E_form**: -0.41 eV/atom
**Total magnetization**: 7.12 μB/f.u.

a = 5.121 Å, b = 5.121 Å, c = 5.121 Å
α = 60.00°, β = 60.00°, γ = 60.00°
Fractional positions:
Gd 0.000 0.000 0.000
Y 0.500 0.500 0.500
Al 0.250 0.250 0.250
Al 0.750 0.750 0.750


Record 3
Below is GdYAl2 after structural relaxation, with properties calculated at the PBE level.

**Space group**: P4/mmm, No. 123
**Energy above the lowest structure with this stoichiometry**: 0.00 kcal/mol of atoms
**Total DFT energy (no corrections)**: -7.4179 eV per atom
**E_form**: -0.41 eV/atom
**Total magnetization**: 7.05 μB/f.u.

a = 3.610 Å, b = 3.610 Å, c = 7.277 Å
α = 90.00°, β = 90.00°, γ = 90.00°
Fractional positions:
Gd 0.000 0.000 0.000
Y 0.000 0.000 0.500
Al 0.500 0.500 0.254
Al 0.500 0.500 0.746


Record 4
Below is Gd2YAl after structural relaxation, with properties calculated at the PBE level.

**Space group**: R-3m, No. 166
**Energy above the lowest structure with this stoichiometry**: 11.01 kcal/mol of atoms
**Total DFT energy (no corrections)**: -9.3131 eV per atom
**E_form**: 0.28 eV/atom
**Total magnetization**: 14.82 μB/f.u.

a = 12.086 Å, b = 12.086 Å, c = 12.086 Å
α = 16.45°, β = 16.45°, γ = 16.45°
Fractional positions:
Gd 0.086 0.086 0.086
Gd 0.914 0.914 0.914
Y 0.500 0.500 0.500
Al 0.000 0.000 0.000


Record 5
Below is GdYAlZn after structural relaxation, with properties calculated at the PBE level.

**Space group**: F-43m, No. 216
**Total DFT energy (no corrections)**: -6.7727 eV per atom
**E_form**: -0.38 eV/atom
**Total magnetization**: 7.43 μB/f.u.

a = 5.117 Å, b = 5.117 Å, c = 5.117 Å
α = 60.00°, β = 60.00°, γ = 60.00°
Fractional positions:
Gd 0.000 0.000 0.000
Y 0.500 0.500 0.500
Al 0.750 0.750 0.750
Zn 0.250 0.250 0.250


Record 6
Below is GdAlZn2 after structural relaxation, with properties calculated at the PBE level.

**Space group**: P4/mmm, No. 123
**Total DFT energy (no corrections)**: -5.3521 eV per atom
**E_form**: -0.26 eV/atom
**Total magnetization**: 7.30 μB/f.u.

a = 4.379 Å, b = 4.379 Å, c = 4.113 Å
α = 90.00°, β = 90.00°, γ = 90.00°
Fractional positions:
Gd 0.000 0.000 0.000
Al 0.500 0.500 0.000
Zn 0.000 0.500 0.500
Zn 0.500 0.000 0.500


Record 7
Below is GdAlZn2 after structural relaxation, with properties calculated at the PBE level.

**Space group**: Fm-3m, No. 225
**Total DFT energy (no corrections)**: -5.3993 eV per atom
**E_form**: -0.31 eV/atom
**Total magnetization**: 6.82 μB/f.u.

a = 4.748 Å, b = 4.748 Å, c = 4.748 Å
α = 60.00°, β = 60.00°, γ = 60.00°
Fractional positions:
Gd 0.000 0.000 0.000
Al 0.500 0.500 0.500
Zn 0.250 0.250 0.250
Zn 0.750 0.750 0.750


Record 8
Below is GdAl4Zn after structural relaxation, with properties calculated at the PBE level.

**Space group**: F-43m, No. 216
**Total DFT energy (no corrections)**: -5.1892 eV per atom
**E_form**: -0.13 eV/atom
**Total magnetization**: 7.48 μB/f.u.

a = 5.492 Å, b = 5.492 Å, c = 5.492 Å
α = 60.00°, β = 60.00°, γ = 60.00°
Fractional positions:
Gd 0.000 0.000 0.000
Al 0.124 0.625 0.625
Al 0.625 0.124 0.625
Al 0.625 0.625 0.124
Al 0.625 0.625 0.625
Zn 0.250 0.250 0.250


Record 9
Below is Gd2ZrAl after structural relaxation, with properties calculated at the PBE level.

**Space group**: Fm-3m, No. 225
**Energy above the lowest structure with this stoichiometry**: 2.95 kcal/mol of atoms
**Total DFT energy (no corrections)**: -10.1286 eV per atom
**E_form**: -0.02 eV/atom
**Total magnetization**: 16.50 μB/f.u.

a = 5.272 Å, b = 5.272 Å, c = 5.272 Å
α = 60.00°, β = 60.00°, γ = 60.00°
Fractional positions:
Gd 0.250 0.250 0.250
Gd 0.750 0.750 0.750
Zr 0.000 0.000 0.000
Al 0.500 0.500 0.500


Record 10
Below is Gd2ZrAl after structural relaxation, with properties calculated at the PBE level.

**Space group**: P4/mmm, No. 123
**Energy above the lowest structure with this stoichiometry**: 0.00 kcal/mol of atoms
**Total DFT energy (no corrections)**: -10.2566 eV per atom
**E_form**: -0.14 eV/atom
**Total magnetization**: 14.35 μB/f.u.

a = 4.578 Å, b = 4.578 Å, c = 4.718 Å
α = 90.00°, β = 90.00°, γ = 90.00°
Fractional positions:
Gd 0.000 0.500 0.000
Gd 0.500 0.000 0.000
Zr 0.000 0.000 0.500
Al 0.500 0.500 0.500


Record 11
Below is Gd2ZrAl after structural relaxation, with properties calculated at the PBE level.

**Space group**: P4/mmm, No. 123
**Energy above the lowest structure with this stoichiometry**: 0.57 kcal/mol of atoms
**Total DFT energy (no corrections)**: -10.2317 eV per atom
**E_form**: -0.12 eV/atom
**Total magnetization**: 14.23 μB/f.u.

a = 3.411 Å, b = 3.411 Å, c = 8.846 Å
α = 90.00°, β = 90.00°, γ = 90.00°
Fractional positions:
Gd 0.000 0.000 0.232
Gd 0.000 0.000 0.768
Zr 0.500 0.500 0.500
Al 0.500 0.500 0.000


Record 12
Below is Gd2ZrAl after structural relaxation, with properties calculated at the PBE level.

**Space group**: R-3m, No. 166
**Energy above the lowest structure with this stoichiometry**: 8.59 kcal/mol of atoms
**Total DFT energy (no corrections)**: -9.8840 eV per atom
**E_form**: 0.23 eV/atom
**Total magnetization**: 14.69 μB/f.u.

a = 11.459 Å, b = 11.459 Å, c = 11.459 Å
α = 16.49°, β = 16.49°, γ = 16.49°
Fractional positions:
Gd 0.095 0.095 0.095
Gd 0.905 0.905 0.905
Zr 0.000 0.000 0.000
Al 0.500 0.500 0.500


Record 13
Below is GdZrAl after structural relaxation, with properties calculated at the PBE level.

**Space group**: I4mm, No. 107
**Energy above the lowest structure with this stoichiometry**: 0.00 kcal/mol of atoms
**Total DFT energy (no corrections)**: -8.9924 eV per atom
**E_form**: -0.20 eV/atom
**Total magnetization**: 7.17 μB/f.u.

a = 7.278 Å, b = 7.278 Å, c = 7.278 Å
α = 154.76°, β = 154.76°, γ = 36.00°
Fractional positions:
Gd 0.000 0.000 0.000
Zr 0.303 0.303 0.000
Al 0.663 0.663 0.000


Record 14
Below is GdZrAl after structural relaxation, with properties calculated at the PBE level.

**Space group**: P3m1, No. 156
**Energy above the lowest structure with this stoichiometry**: 3.11 kcal/mol of atoms
**Total DFT energy (no corrections)**: -8.8576 eV per atom
**E_form**: -0.07 eV/atom
**Total magnetization**: 7.03 μB/f.u.

a = 4.950 Å, b = 4.950 Å, c = 3.365 Å
α = 90.00°, β = 90.00°, γ = 120.00°
Fractional positions:
Gd 0.000 0.000 0.000
Zr 0.333 0.667 0.555
Al 0.667 0.333 0.385


Record 15
Below is AlGe2 after structural relaxation, with properties calculated at the PBE level.

**Space group**: C2/m, No. 12
**Total DFT energy (no corrections)**: -4.1047 eV per atom
**E_form**: 0.22 eV/atom
**Total magnetization**: 0.00 μB/f.u.

a = 3.604 Å, b = 3.604 Å, c = 4.855 Å
α = 109.84°, β = 109.84°, γ = 90.11°
Fractional positions:
Al 0.000 0.000 0.000
Ge 0.329 0.329 0.666
Ge 0.671 0.671 0.334


Record 16
Below is AlGe3 after structural relaxation, with properties calculated at the PBE level.

**Space group**: Pmm2, No. 25
**Total DFT energy (no corrections)**: -4.2140 eV per atom
**E_form**: 0.18 eV/atom
**Total magnetization**: 0.00 μB/f.u.

a = 3.693 Å, b = 5.293 Å, c = 3.922 Å
α = 90.00°, β = 90.00°, γ = 90.00°
Fractional positions:
Al 0.000 0.000 0.000
Ge 0.000 0.500 0.811
Ge 0.500 0.000 0.499
Ge 0.500 0.500 0.308


Record 17
Below is AlGe4 after structural relaxation, with properties calculated at the PBE level.

**Space group**: Pm-3m, No. 221
**Total DFT energy (no corrections)**: -3.7788 eV per atom
**E_form**: 0.66 eV/atom
**Total magnetization**: 0.00 μB/f.u.

a = 4.871 Å, b = 4.871 Å, c = 4.871 Å
α = 90.00°, β = 90.00°, γ = 90.00°
Fractional positions:
Al 0.000 0.000 0.000
Ge 0.000 0.000 0.500
Ge 0.000 0.500 0.000
Ge 0.500 0.000 0.000
Ge 0.500 0.500 0.500


Record 18
Below is Al13Ge2 after structural relaxation, with properties calculated at the PBE level.

**Space group**: R-3m, No. 166
**Total DFT energy (no corrections)**: -3.6054 eV per atom
**E_form**: 0.25 eV/atom
**Total magnetization**: 0.00 μB/f.u.

a = 8.018 Å, b = 8.018 Å, c = 8.018 Å
α = 54.21°, β = 54.21°, γ = 54.21°
Fractional positions:
Al 0.000 0.000 0.000
Al 0.101 0.101 0.516
Al 0.101 0.516 0.101
Al 0.246 0.246 0.624
Al 0.246 0.624 0.246
Al 0.376 0.754 0.754
Al 0.484 0.899 0.899
Al 0.516 0.101 0.101
Al 0.624 0.246 0.246
Al 0.754 0.376 0.754
Al 0.754 0.754 0.376
Al 0.899 0.484 0.899
Al 0.899 0.899 0.484
Ge 0.142 0.142 0.142
Ge 0.858 0.858 0.858


Record 19
Below is AlGe3 after structural relaxation, with properties calculated at the PBE level.

**Space group**: I4/mmm, No. 139
**Total DFT energy (no corrections)**: -4.1431 eV per atom
**E_form**: 0.26 eV/atom
**Total magnetization**: 0.00 μB/f.u.

a = 5.396 Å, b = 5.396 Å, c = 5.396 Å
α = 136.09°, β = 136.09°, γ = 63.85°
Fractional positions:
Al 0.000 0.000 0.000
Ge 0.250 0.750 0.500
Ge 0.500 0.500 0.000
Ge 0.750 0.250 0.500


Record 20
Below is Al8Ge after structural relaxation, with properties calculated at the PBE level.

**Space group**: I4/mmm, No. 139
**Total DFT energy (no corrections)**: -3.7984 eV per atom
**E_form**: 0.04 eV/atom
**Total magnetization**: 0.00 μB/f.u.

a = 6.485 Å, b = 6.485 Å, c = 6.485 Å
α = 95.32°, β = 95.32°, γ = 144.55°
Fractional positions:
Al 0.000 0.336 0.336
Al 0.000 0.664 0.664
Al 0.331 0.331 0.663
Al 0.331 0.669 0.000
Al 0.336 0.000 0.336
Al 0.664 0.000 0.664
Al 0.669 0.331 0.000
Al 0.669 0.669 0.337
Ge 0.000 0.000 0.000